# ZrMo, optimized geometry, DFT PBE
data_ZrMo
_chemical_formula_sum 'Zr2 Mo2'
_cell_length_a 2.7696
_cell_length_b 2.7696
_cell_length_c 9.9358
_cell_angle_alpha 90.00
_cell_angle_beta 90.00
_cell_angle_gamma 90.00
_space_group_name_H-M_alt 'P 4/n m m'
_space_group_IT_number 129
loop_
_space_group_symop_operation_xyz
'x,y,z'
'-x,-y,-z'
'-y+1/2,x,z'
'y+1/2,-x,-z'
'-x+1/2,-y+1/2,z'
'x+1/2,y+1/2,-z'
'y,-x+1/2,z'
'-y,x+1/2,-z'
'x+1/2,-y,-z'
'-x+1/2,y,z'
'-y,-x,-z'
'y,x,z'
'-x,y+1/2,-z'
'x,-y+1/2,z'
'y+1/2,x+1/2,-z'
'-y+1/2,-x+1/2,z'
loop_
_atom_site_label
_atom_site_fract_x
_atom_site_fract_y
_atom_site_fract_z
_atom_site_occupancy
Zr1 0.2500 0.2500 0.1431 1
Mo1 0.2500 0.2500 0.6134 1
# Energy, eV for the cell shown: -37.50
# Fermi-level density of states, states/eV/cell: 2.944
# Formation energy from the elements, kJ/mol of formula units: 61